# 1
Rb3Sr2OsO6 after structural relaxation, computed with PBE.

Cell and atoms, written as POSCAR:
```
Rb3Sr2OsO6
1.0
6.180 0.001 0.001
-3.088 5.353 0.001
-1.030 -1.784 6.443
Sr O Rb Os
2 6 3 1
Direct
0.333 0.667 0.000 Sr
0.667 0.333 0.000 Sr
0.334 0.060 0.178 O
0.940 0.666 0.822 O
0.215 0.215 0.821 O
0.060 0.334 0.178 O
0.666 0.940 0.822 O
0.785 0.785 0.179 O
0.165 0.835 0.500 Rb
0.500 0.500 0.500 Rb
0.835 0.165 0.500 Rb
0.000 0.000 0.000 Os
```

Energy relative to the elements, uncorrected: -1.730 eV/atom
Symmetry: C2/m (12)
Raw total energy: -68.01 eV for the cell shown
Calculated volume: 17.77 Å³/atom

# 2
RbSr2OsO6 after structural relaxation, computed with PBE.

Cell and atoms, written as POSCAR:
```
RbSr2OsO6
1.0
6.116 0.000 0.000
3.058 5.297 0.000
3.058 1.766 5.387
O Sr Os Rb
6 2 1 1
Direct
0.662 0.171 0.795 O
0.171 0.373 0.795 O
0.529 0.260 0.209 O
0.373 0.662 0.795 O
0.260 0.002 0.209 O
0.002 0.529 0.209 O
0.014 0.014 0.958 Sr
0.529 0.529 0.413 Sr
0.327 0.327 0.019 Os
0.796 0.796 0.613 Rb
```

Energy relative to the elements, uncorrected: -1.863 eV/atom
Symmetry: R3 (146)
Raw total energy: -63.94 eV for the cell shown
Calculated volume: 17.45 Å³/atom

# 3
Rb2SrOsO4 after structural relaxation, computed with PBE.

Cell and atoms, written as POSCAR:
```
Rb2SrOsO4
1.0
5.936 0.061 0.094
-2.474 5.396 -0.094
-2.474 -2.257 4.902
O Rb Sr Os
4 2 1 1
Direct
0.402 0.785 0.684 O
0.899 0.617 0.215 O
0.101 0.316 0.718 O
0.598 0.282 0.383 O
0.000 0.000 0.000 Rb
0.500 0.750 0.250 Rb
0.500 0.250 0.750 Sr
0.000 0.500 0.500 Os
```

Energy relative to the elements, uncorrected: -1.536 eV/atom
Symmetry: I-4 (82)
Raw total energy: -46.97 eV for the cell shown
Calculated volume: 19.79 Å³/atom

# 4
Rb3SrOs2O9 after structural relaxation, computed with PBE.

Cell and atoms, written as POSCAR:
```
Rb3SrOs2O9
1.0
5.893 0.000 0.000
-2.947 5.104 0.000
0.000 0.000 7.489
O Os Rb Sr
9 2 3 1
Direct
0.184 0.816 0.291 O
0.631 0.816 0.291 O
0.500 0.000 0.000 O
0.369 0.184 0.709 O
0.184 0.369 0.291 O
0.816 0.184 0.709 O
0.500 0.500 0.000 O
0.816 0.631 0.709 O
0.000 0.500 0.000 O
0.667 0.333 0.851 Os
0.333 0.667 0.149 Os
0.333 0.667 0.668 Rb
0.667 0.333 0.332 Rb
0.000 0.000 0.000 Rb
0.000 0.000 0.500 Sr
```

Energy relative to the elements, uncorrected: -1.505 eV/atom
Symmetry: P-3m1 (164)
Raw total energy: -94.24 eV for the cell shown
Calculated volume: 15.02 Å³/atom